NaWO2F (PBE with a Hubbard U, optimized geometry); symmetry = P4/mmm (123); D(E_F) = 0.001 states/eV/cell; spin magnetization = 2.0 Bohr magnetons per cell; energy = -6.102 eV per atom
1.0
4.052 0.000 0.000
0.000 4.052 0.000
0.000 0.000 4.243
Na W O F
1 1 2 1
Direct
0.000 0.000 0.000 Na
0.500 0.500 0.500 W
0.000 0.500 0.500 O
0.500 0.000 0.500 O
0.500 0.500 0.000 F